A relaxed La2ThSi3Rh12 crystal. Source: Alexandria via LeMat-Bulk, functional PBE-GGA.

Cell and atoms, written as POSCAR:
```
La2ThSi3Rh12
1.0
6.568 -1.446 -1.025
1.987 6.425 -1.025
1.987 1.156 6.403
Rh Th La Si
12 1 2 3
direct
0.082 0.631 0.631
0.669 0.185 0.185
0.331 0.815 0.815
0.185 0.185 0.669
0.631 0.631 0.082
0.815 0.815 0.331
0.815 0.331 0.815
0.918 0.369 0.369
0.185 0.669 0.185
0.369 0.369 0.918
0.631 0.082 0.631
0.369 0.918 0.369
0.000 0.000 0.000
0.630 0.630 0.630
0.370 0.370 0.370
0.000 0.000 0.500
0.500 0.000 0.000
0.000 0.500 0.000
```

Summary:
Its space group is R-3m (166). The energy is -7.194 eV per atom. The formation energy without anion corrections comes out at -0.4300 eV/atom.


A relaxed Tb8In2Ni crystal. Source: Alexandria via LeMat-Bulk, functional PBE-GGA.

Cell and atoms, written as POSCAR:
```
Tb8In2Ni
1.0
5.092 0.000 0.000
0.000 6.717 0.331
-2.546 -2.428 8.977
In Ni Tb
2 1 8
direct
0.186 0.755 0.373
0.814 0.245 0.627
0.500 0.000 0.000
0.791 0.695 0.582
0.409 0.541 0.818
0.643 0.982 0.286
0.591 0.459 0.182
0.985 0.223 0.969
0.015 0.777 0.031
0.357 0.018 0.714
0.209 0.305 0.418
```

Summary:
Its formation enthalpy at 0 K is -0.2182 eV per atom. Its space group is C2/m (12). The energy is -4.609 eV per atom.


A relaxed Re2AuBr crystal. Source: Alexandria via LeMat-Bulk, functional PBE-GGA.

Cell and atoms, written as POSCAR:
```
Re2AuBr
1.0
2.873 0.000 0.000
0.000 2.873 0.000
0.000 0.000 8.070
Au Re Br
1 2 1
direct
0.500 0.500 0.250
0.000 0.000 0.496
0.000 0.000 0.004
0.500 0.500 0.750
```

Summary:
As for the energy above the most stable polymorph in this dataset: 0.644 eV per atom. Its space group is P4/mmm (123). The energy is -6.141 eV per atom. The formation energy without anion corrections comes out at 1.3204 eV/atom.


A relaxed Pr2Ge5Rh crystal. Source: Alexandria via LeMat-Bulk, functional PBE-GGA.

Cell and atoms, written as POSCAR:
```
Pr2Ge5Rh
1.0
6.458 -0.312 -0.444
-3.451 5.468 0.444
-3.451 -1.442 5.293
Rh Ge Pr
1 5 2
direct
0.000 0.899 0.899
0.537 0.273 0.273
0.000 0.273 0.735
0.000 0.316 0.316
0.463 0.735 0.735
0.000 0.735 0.273
0.500 0.246 0.746
0.500 0.746 0.246
```

Summary:
Its formation enthalpy at 0 K is -0.5019 eV per atom. Its space group is I4mm (107). The energy is -5.502 eV per atom.


A relaxed NaTa2AlCr crystal. Source: Alexandria via LeMat-Bulk, functional PBE-GGA.

Cell and atoms, written as POSCAR:
```
NaTa2AlCr
1.0
-0.186 -3.431 3.435
4.125 0.969 1.191
-1.684 3.270 3.175
Ta Al Cr Na
2 1 1 1
direct
0.000 0.000 0.500
0.500 0.000 0.000
0.000 0.000 0.000
0.000 0.500 0.000
0.500 0.500 0.500
```

Summary:
Its formation enthalpy at 0 K is 1.6000 eV per atom. Its space group is P4/mmm (123). The energy is -6.078 eV per atom.


A relaxed Cs2RbTe2O6 crystal. Source: Alexandria via LeMat-Bulk, functional PBE-GGA.

Cell and atoms, written as POSCAR:
```
Cs2RbTe2O6
1.0
-4.855 4.655 -1.999
-1.738 -6.082 2.374
2.780 5.413 5.856
O Cs Rb Te
6 2 1 2
direct
0.260 0.093 0.784
0.212 0.424 0.439
0.833 0.093 0.784
0.167 0.907 0.216
0.788 0.576 0.561
0.740 0.907 0.216
0.298 0.597 0.831
0.702 0.403 0.169
0.500 0.000 0.500
0.052 0.105 0.221
0.948 0.895 0.779
```

Summary:
Its space group is C2/m (12). The energy is -4.795 eV per atom. The formation energy without anion corrections comes out at -1.2764 eV/atom.


A relaxed CdGa2Ir2 crystal. Source: Alexandria via LeMat-Bulk, functional PBE-GGA.

Cell and atoms, written as POSCAR:
```
CdGa2Ir2
1.0
7.415 0.000 0.000
0.000 7.415 0.000
0.000 0.000 2.890
Ga Ir Cd
4 4 2
direct
0.863 0.637 0.000
0.637 0.137 0.000
0.137 0.363 0.000
0.363 0.863 0.000
0.341 0.159 0.500
0.159 0.659 0.500
0.841 0.341 0.500
0.659 0.841 0.500
0.000 0.000 0.000
0.500 0.500 0.000
```

Summary:
Its formation enthalpy at 0 K is -0.2735 eV per atom. As for the energy above the most stable polymorph in this dataset: 0.035 eV per atom. Its space group is P4/mbm (127). The energy is -5.212 eV per atom.


A relaxed Pm5Mg4Co2 crystal. Source: Alexandria via LeMat-Bulk, functional PBE-GGA.

Cell and atoms, written as POSCAR:
```
Pm5Mg4Co2
1.0
3.716 0.000 0.000
0.000 8.182 0.000
0.000 0.000 18.292
Pm Mg Co
10 8 4
direct
0.000 0.756 0.780
0.000 0.880 0.094
0.000 0.000 0.500
0.000 0.620 0.594
0.000 0.744 0.280
0.000 0.380 0.406
0.000 0.500 0.000
0.000 0.256 0.720
0.000 0.244 0.220
0.000 0.120 0.906
0.500 0.799 0.933
0.500 0.561 0.153
0.500 0.061 0.347
0.500 0.299 0.567
0.500 0.201 0.067
0.500 0.439 0.847
0.500 0.701 0.433
0.500 0.939 0.653
0.500 0.470 0.302
0.500 0.030 0.802
0.500 0.530 0.698
0.500 0.970 0.198
```

Summary:
Its formation enthalpy at 0 K is -0.1031 eV per atom. Its space group is Pbam (55). The energy is -4.134 eV per atom.


V values (in Å³/atom) by entry order: 17.23, 28.28, 16.65, 21.90, 20.78, 27.13, 15.89, 25.28.